The following is a DFT calculation (PBE-GGA) of a relaxed structure of ThMg2BeGe2.

Lattice parameters (Å, degrees): 4.1834 4.1834 7.9919 105.17 105.17 90.00
Last column: nearest neighbours and their distance in Å.
Fractional positions:
1 Th 0.5000 0.5000 0.0000  4 Be 2.96
2 Mg 0.2500 0.7500 0.5000  4 Ge 2.68, 4 Mg 2.96
3 Mg 0.7500 0.2500 0.5000  4 Ge 2.68, 4 Mg 2.96
4 Be 0.0000 0.0000 0.0000  2 Ge 2.03
5 Ge 0.8630 0.8630 0.7261  1 Be 2.03
6 Ge 0.1370 0.1370 0.2739  1 Be 2.03

space group: I4/mmm
formation energy from the elements: -4.7 kJ per mole of atoms

The following is a DFT calculation (PBE-GGA) of a relaxed structure of MgBeGeW2.

Lattice parameters (Å, degrees): 4.7082 3.9277 4.7082 90.00 90.00 90.00
Last column: nearest neighbours and their distance in Å.
Fractional positions:
1 Be 0.0000 0.5000 0.0000  2 Mg 1.96
2 Ge 0.5000 0.5000 0.5000  8 W 3.07, 4 Be 3.33
3 Mg 0.0000 0.0000 0.0000  2 Be 1.96
4 W 0.0000 0.0000 0.5000  2 Mg 2.35
5 W 0.5000 0.0000 0.0000  2 Mg 2.35

space group: P4/mmm
excess energy over the best structure of this formula in the dataset: 1270 meV/atom
formation energy from the elements: 209.9 kJ per mole of atoms

Which of these has the lowest formation energy from the elements?
ThMg2BeGe2

Repeat the second record exactly.
The following is a DFT calculation (PBE-GGA) of a relaxed structure of MgBeGeW2.

Lattice parameters (Å, degrees): 4.7082 3.9277 4.7082 90.00 90.00 90.00
Last column: nearest neighbours and their distance in Å.
Fractional positions:
1 Be 0.0000 0.5000 0.0000  2 Mg 1.96
2 Ge 0.5000 0.5000 0.5000  8 W 3.07, 4 Be 3.33
3 Mg 0.0000 0.0000 0.0000  2 Be 1.96
4 W 0.0000 0.0000 0.5000  2 Mg 2.35
5 W 0.5000 0.0000 0.0000  2 Mg 2.35

space group: P4/mmm
excess energy over the best structure of this formula in the dataset: 1270 meV/atom
formation energy from the elements: 209.9 kJ per mole of atoms

What is the formation energy from the elements in the second record?
209.9 kJ per mole of atoms

Repeat the first record exactly.
The following is a DFT calculation (PBE-GGA) of a relaxed structure of ThMg2BeGe2.

Lattice parameters (Å, degrees): 4.1834 4.1834 7.9919 105.17 105.17 90.00
Last column: nearest neighbours and their distance in Å.
Fractional positions:
1 Th 0.5000 0.5000 0.0000  4 Be 2.96
2 Mg 0.2500 0.7500 0.5000  4 Ge 2.68, 4 Mg 2.96
3 Mg 0.7500 0.2500 0.5000  4 Ge 2.68, 4 Mg 2.96
4 Be 0.0000 0.0000 0.0000  2 Ge 2.03
5 Ge 0.8630 0.8630 0.7261  1 Be 2.03
6 Ge 0.1370 0.1370 0.2739  1 Be 2.03

space group: I4/mmm
formation energy from the elements: -4.7 kJ per mole of atoms